YGaOs (GGA-PBE, relaxed); raw total energy = -7.328 eV/atom
1.0
-2.7284 2.7338 3.7033
2.7284 -2.7338 3.7033
2.7284 2.7338 -3.7033
Y Ga Os
2 2 2
Direct
0.3841 0.1341 0.2500 Y
0.6159 0.8659 0.7500 Y
0.0000 0.0000 0.5000 Ga
0.0000 0.5000 0.0000 Ga
0.0000 0.5000 0.5000 Os
0.5000 0.5000 0.0000 Os


YGa3Os (GGA-PBE, relaxed); E above lowest polymorph = 365 meV/atom
1.0
4.7602 0.0000 0.0000
0.0000 4.7602 0.0000
0.0000 0.0000 4.7602
Y Ga Os
1 3 1
Direct
0.0000 0.0000 0.0000 Y
0.0000 0.5000 0.5000 Ga
0.5000 0.0000 0.5000 Ga
0.5000 0.5000 0.0000 Ga
0.5000 0.5000 0.5000 Os


Y3Ga7Os2 (GGA-PBE, relaxed); raw total energy = -5.482 eV/atom
1.0
-2.3067 2.3067 12.1440
2.3067 -2.3067 12.1440
2.3067 2.3067 -12.1440
Y Ga Os
3 7 2
Direct
0.0000 0.0000 0.0000 Y
0.1676 0.1676 0.0000 Y
0.8324 0.8324 0.0000 Y
0.0826 0.5826 0.5000 Ga
0.2871 0.2871 0.0000 Ga
0.4174 0.9174 0.5000 Ga
0.5000 0.5000 0.0000 Ga
0.5826 0.0826 0.5000 Ga
0.7129 0.7129 0.0000 Ga
0.9174 0.4174 0.5000 Ga
0.3867 0.3867 0.0000 Os
0.6133 0.6133 0.0000 Os


YGaOs (GGA-PBE, relaxed); raw total energy = -7.379 eV/atom
1.0
2.6984 1.5579 13.2651
-2.6984 1.5579 13.2651
0.0000 -3.1159 13.2651
Y Ga Os
6 6 6
Direct
0.0411 0.0411 0.0411 Y
0.1788 0.1788 0.1788 Y
0.2669 0.2669 0.2669 Y
0.7331 0.7331 0.7331 Y
0.8212 0.8212 0.8212 Y
0.9589 0.9589 0.9589 Y
0.2254 0.7204 0.7204 Ga
0.2796 0.2796 0.7746 Ga
0.2796 0.7746 0.2796 Ga
0.7204 0.2254 0.7204 Ga
0.7204 0.7204 0.2254 Ga
0.7746 0.2796 0.2796 Ga
0.0000 0.5000 0.5000 Os
0.3889 0.3889 0.3889 Os
0.5000 0.0000 0.5000 Os
0.5000 0.5000 0.0000 Os
0.5000 0.5000 0.5000 Os
0.6111 0.6111 0.6111 Os


YGa3Os (GGA-PBE, relaxed); E above lowest polymorph = 329 meV/atom
1.0
-3.3612 3.7236 4.1577
3.3612 -3.7236 4.1577
3.3612 3.7236 -4.1577
Y Ga Os
2 6 2
Direct
0.2402 0.2402 0.0000 Y
0.7598 0.7598 0.0000 Y
0.1823 0.3106 0.4930 Ga
0.1823 0.6894 0.8717 Ga
0.2359 0.7359 0.5000 Ga
0.7641 0.2641 0.5000 Ga
0.8177 0.3106 0.1283 Ga
0.8177 0.6894 0.5070 Ga
0.3337 0.0000 0.3337 Os
0.6663 0.0000 0.6663 Os


Y2Ga2Os (GGA-PBE, relaxed); E above lowest polymorph = 0 meV/atom
1.0
5.4616 -2.1027 0.0000
5.4616 2.1027 0.0000
-4.7642 0.0000 9.3451
Y Ga Os
4 4 2
Direct
0.0058 0.0058 0.3299 Y
0.1917 0.1917 0.1205 Y
0.8083 0.8083 0.8795 Y
0.9942 0.9942 0.6701 Y
0.3543 0.3543 0.4430 Ga
0.4846 0.4846 0.1158 Ga
0.5154 0.5154 0.8842 Ga
0.6457 0.6457 0.5570 Ga
0.2822 0.2822 0.6496 Os
0.7178 0.7178 0.3504 Os


ZnGa3Os (GGA-PBE, relaxed); E above lowest polymorph = 0 meV/atom
1.0
4.8406 0.0000 0.0000
0.0000 4.8406 0.0000
0.0000 0.0000 4.8406
Zn Ga Os
1 3 1
Direct
0.0000 0.0000 0.0000 Zn
0.0000 0.5000 0.5000 Ga
0.5000 0.0000 0.5000 Ga
0.5000 0.5000 0.0000 Ga
0.5000 0.5000 0.5000 Os


ZnGa2Os2 (GGA-PBE, relaxed); E above lowest polymorph = 147 meV/atom
1.0
7.2212 0.0000 0.0000
0.0000 7.2212 0.0000
0.0000 0.0000 2.8963
Zn Ga Os
2 4 4
Direct
0.0000 0.0000 0.0000 Zn
0.5000 0.5000 0.0000 Zn
0.1418 0.3582 0.0000 Ga
0.3582 0.8582 0.0000 Ga
0.6418 0.1418 0.0000 Ga
0.8582 0.6418 0.0000 Ga
0.1553 0.6553 0.5000 Os
0.3447 0.1553 0.5000 Os
0.6553 0.8447 0.5000 Os
0.8447 0.3447 0.5000 Os


ZnGa2Os2 (GGA-PBE, relaxed); E above lowest polymorph = 0 meV/atom
1.0
6.8281 0.0000 0.0000
0.0000 6.8281 0.0000
0.0000 0.0000 3.2690
Zn Ga Os
2 4 4
Direct
0.0000 0.0000 0.0000 Zn
0.5000 0.5000 0.0000 Zn
0.1512 0.3488 0.5000 Ga
0.3488 0.8488 0.5000 Ga
0.6512 0.1512 0.5000 Ga
0.8488 0.6512 0.5000 Ga
0.1475 0.6475 0.0000 Os
0.3525 0.1475 0.0000 Os
0.6475 0.8525 0.0000 Os
0.8525 0.3525 0.0000 Os


ZnGaOs2 (GGA-PBE, relaxed); raw total energy = -5.887 eV/atom
1.0
-3.5062 3.5062 2.5685
3.5062 -3.5062 2.5685
3.5062 3.5062 -2.5685
Zn Ga Os
2 2 4
Direct
0.0000 0.0000 0.0000 Zn
0.7500 0.2500 0.5000 Zn
0.2500 0.7500 0.5000 Ga
0.5000 0.5000 0.0000 Ga
0.1354 0.6250 0.0104 Os
0.3750 0.3854 0.5104 Os
0.6146 0.1250 0.9896 Os
0.8750 0.8646 0.4896 Os


ZnGa3Os (GGA-PBE, relaxed); E above lowest polymorph = 1052 meV/atom
1.0
4.6393 0.0000 0.0000
0.0000 4.6393 0.0000
0.0000 0.0000 4.6393
Zn Ga Os
1 3 1
Direct
0.0000 0.0000 0.0000 Zn
0.0000 0.0000 0.5000 Ga
0.0000 0.5000 0.0000 Ga
0.5000 0.0000 0.0000 Ga
0.5000 0.5000 0.5000 Os


Zn3GaOs (GGA-PBE, relaxed); E above lowest polymorph = 0 meV/atom
1.0
4.8347 0.0000 0.0000
0.0000 4.8347 0.0000
0.0000 0.0000 4.8347
Zn Ga Os
3 1 1
Direct
0.0000 0.0000 0.5000 Zn
0.0000 0.5000 0.0000 Zn
0.5000 0.0000 0.0000 Zn
0.5000 0.5000 0.5000 Ga
0.0000 0.0000 0.0000 Os


Zn3GaOs (GGA-PBE, relaxed); E above lowest polymorph = 662 meV/atom
1.0
4.5725 0.0000 0.0000
0.0000 4.5725 0.0000
0.0000 0.0000 4.5725
Zn Ga Os
3 1 1
Direct
0.0000 0.0000 0.5000 Zn
0.0000 0.5000 0.0000 Zn
0.5000 0.0000 0.0000 Zn
0.0000 0.0000 0.0000 Ga
0.5000 0.5000 0.5000 Os


ZnGaOs3 (GGA-PBE, relaxed); E above lowest polymorph = 0 meV/atom
1.0
4.5193 0.0000 0.0000
0.0000 4.5193 0.0000
0.0000 0.0000 4.5193
Zn Ga Os
1 1 3
Direct
0.0000 0.0000 0.0000 Zn
0.5000 0.5000 0.5000 Ga
0.0000 0.5000 0.5000 Os
0.5000 0.0000 0.5000 Os
0.5000 0.5000 0.0000 Os


Zn2GaOs (GGA-PBE, relaxed); raw total energy = -3.830 eV/atom
1.0
-1.8374 1.8374 9.4095
1.8374 -1.8374 9.4095
1.8374 1.8374 -9.4095
Zn Ga Os
4 2 2
Direct
0.1028 0.6250 0.9778 Zn
0.3750 0.3528 0.4778 Zn
0.6472 0.1250 0.0222 Zn
0.8750 0.8972 0.5222 Zn
0.2500 0.7500 0.5000 Ga
0.5000 0.5000 0.0000 Ga
0.0000 0.0000 0.0000 Os
0.7500 0.2500 0.5000 Os


ZrGaOs2 (GGA-PBE, relaxed); raw total energy = -8.732 eV/atom
1.0
3.2267 0.0000 0.0000
0.0000 3.2267 0.0000
0.0000 0.0000 6.1698
Zr Ga Os
1 1 2
Direct
0.0000 0.0000 0.0000 Zr
0.0000 0.0000 0.5000 Ga
0.5000 0.5000 0.2685 Os
0.5000 0.5000 0.7315 Os


ZrGaOs2 (GGA-PBE, relaxed); raw total energy = -8.028 eV/atom
1.0
-3.5690 3.5690 2.7592
3.5690 -3.5690 2.7592
3.5690 3.5690 -2.7592
Zr Ga Os
2 2 4
Direct
0.0000 0.0000 0.0000 Zr
0.7500 0.2500 0.5000 Zr
0.2500 0.7500 0.5000 Ga
0.5000 0.5000 0.0000 Ga
0.1669 0.6250 0.0419 Os
0.3750 0.4169 0.5419 Os
0.5831 0.1250 0.9581 Os
0.8750 0.8331 0.4581 Os


ZrGaOs3 (GGA-PBE, relaxed); E above lowest polymorph = 0 meV/atom
1.0
4.4986 0.0000 0.0000
0.0000 4.4986 0.0000
0.0000 0.0000 4.4986
Zr Ga Os
1 1 3
Direct
0.0000 0.0000 0.0000 Zr
0.5000 0.5000 0.5000 Ga
0.0000 0.5000 0.5000 Os
0.5000 0.0000 0.5000 Os
0.5000 0.5000 0.0000 Os


Zr2Ga6Os (GGA-PBE, relaxed); raw total energy = -5.213 eV/atom
1.0
7.1357 -3.1661 0.0000
7.1357 3.1661 0.0000
-1.1570 0.0000 3.9424
Zr Ga Os
2 6 1
Direct
0.2235 0.2235 0.2182 Zr
0.7765 0.7765 0.7818 Zr
0.0867 0.6602 0.3770 Ga
0.2424 0.7576 0.0000 Ga
0.3398 0.9133 0.6230 Ga
0.6602 0.0867 0.3770 Ga
0.7576 0.2424 0.0000 Ga
0.9133 0.3398 0.6230 Ga
0.5000 0.5000 0.5000 Os


Zr6GaOs5 (GGA-PBE, relaxed); raw total energy = -9.687 eV/atom
1.0
-2.3382 3.2967 7.0066
2.3382 -3.2967 7.0066
2.3382 3.2967 -7.0066
Zr Ga Os
6 1 5
Direct
0.0800 0.3319 0.7482 Zr
0.2458 0.0000 0.2458 Zr
0.4163 0.6681 0.7482 Zr
0.5837 0.3319 0.2518 Zr
0.7542 0.0000 0.7542 Zr
0.9200 0.6681 0.2518 Zr
0.5000 0.5000 0.0000 Ga
0.0000 0.5000 0.5000 Os
0.1673 0.1673 0.0000 Os
0.3335 0.8335 0.5000 Os
0.6665 0.1665 0.5000 Os
0.8327 0.8327 0.0000 Os


Zr6Ga16Os7 (GGA-PBE, relaxed); raw total energy = -6.489 eV/atom
1.0
0.0000 6.2241 6.2241
6.2241 0.0000 6.2241
6.2241 6.2241 0.0000
Zr Ga Os
6 16 7
Direct
0.2171 0.2171 0.7829 Zr
0.2171 0.7829 0.2171 Zr
0.2171 0.7829 0.7829 Zr
0.7829 0.2171 0.2171 Zr
0.7829 0.2171 0.7829 Zr
0.7829 0.7829 0.2171 Zr
0.1299 0.6234 0.6234 Ga
0.1552 0.1552 0.1552 Ga
0.1552 0.1552 0.5343 Ga
0.1552 0.5343 0.1552 Ga
0.3766 0.3766 0.3766 Ga
0.3766 0.3766 0.8701 Ga
0.3766 0.8701 0.3766 Ga
0.4657 0.8448 0.8448 Ga
0.5343 0.1552 0.1552 Ga
0.6234 0.1299 0.6234 Ga
0.6234 0.6234 0.1299 Ga
0.6234 0.6234 0.6234 Ga
0.8448 0.4657 0.8448 Ga
0.8448 0.8448 0.4657 Ga
0.8448 0.8448 0.8448 Ga
0.8701 0.3766 0.3766 Ga
0.0000 0.0000 0.5000 Os
0.0000 0.5000 0.0000 Os
0.0000 0.5000 0.5000 Os
0.5000 0.0000 0.0000 Os
0.5000 0.0000 0.5000 Os
0.5000 0.5000 0.0000 Os
0.5000 0.5000 0.5000 Os


ZrGa3Os (GGA-PBE, relaxed); E above lowest polymorph = 0 meV/atom
1.0
4.7142 0.0000 0.0000
0.0000 4.7142 0.0000
0.0000 0.0000 4.7142
Zr Ga Os
1 3 1
Direct
0.0000 0.0000 0.0000 Zr
0.0000 0.5000 0.5000 Ga
0.5000 0.0000 0.5000 Ga
0.5000 0.5000 0.0000 Ga
0.5000 0.5000 0.5000 Os


ZrGaOs3 (GGA-PBE, relaxed); E above lowest polymorph = 1378 meV/atom
1.0
4.8648 0.0000 0.0000
0.0000 4.8648 0.0000
0.0000 0.0000 4.8648
Zr Ga Os
1 1 3
Direct
0.0000 0.0000 0.0000 Zr
0.5000 0.5000 0.5000 Ga
0.0000 0.0000 0.5000 Os
0.0000 0.5000 0.0000 Os
0.5000 0.0000 0.0000 Os


Zr4GaOs (GGA-PBE, relaxed); raw total energy = -8.449 eV/atom
1.0
6.6165 0.0000 0.0000
0.0000 6.6165 0.0000
0.0000 0.0000 5.7079
Zr Ga Os
8 2 2
Direct
0.1570 0.3269 0.0000 Zr
0.1570 0.6731 0.5000 Zr
0.3269 0.1570 0.5000 Zr
0.3269 0.8430 0.0000 Zr
0.6731 0.1570 0.0000 Zr
0.6731 0.8430 0.5000 Zr
0.8430 0.3269 0.5000 Zr
0.8430 0.6731 0.0000 Zr
0.5000 0.5000 0.2500 Ga
0.5000 0.5000 0.7500 Ga
0.0000 0.0000 0.2500 Os
0.0000 0.0000 0.7500 Os


Magnetic moment, respectively: 0.000; 0.000; 0.000; 0.000; 0.000; 0.000; 0.000; 0.000; 0.000; 0.728; 1.773; 0.000; 2.730; 2.319; 1.075; 0.000; 0.000; 0.000; 0.000; 0.000; 0.000; 0.821; 2.982; 0.000 Bohr magnetons per cell.
DOS(E_F), respectively: 4.26; 1.52; 5.35; 12.42; 5.47; 8.31; 2.14; 7.28; 2.63; 10.49; 4.33; 2.79; 2.44; 5.88; 5.77; 3.50; 10.86; 3.41; 6.80; 4.08; 20.54; 2.53; 8.66; 14.36 states/eV per cell.